# PBE K2FeHAu, relaxed
data_K2FeHAu
_chemical_formula_sum 'K2 Fe1 H1 Au1'
_space_group_name_H-M_alt 'P 1'
_space_group_IT_number 1
_space_group_name_Hall 'P 1'
_cell_length_a 6.218
_cell_length_b 6.218
_cell_length_c 4.918
_cell_angle_alpha 90.00
_cell_angle_beta 90.00
_cell_angle_gamma 90.00
loop_
_atom_site_label
_atom_site_fract_x
_atom_site_fract_y
_atom_site_fract_z
H1 0.500 0.500 0.500
K1 0.500 0.000 0.000
Au1 0.000 0.000 0.500
Fe1 0.000 0.000 0.000
K2 0.000 0.500 0.000
# VASP energy: -2.766 eV/atom
# V: 38.0 Å³/atom